(1)
The following is a DFT calculation (PBE) of an optimized crystal structure of AcHgAs4.

Results
* E_form: -0.303 eV per atom
* crystal system: cubic
* SG: F-43m, No. 216

```
6
Lattice="5.861 0.000 0.000 2.931 5.076 0.000 2.931 1.692 4.786" Properties=species:S:1:pos:R:3 pbc="T T T"
As 5.861 3.384 0.715
As 5.861 1.802 2.952
As 7.231 4.175 2.952
As 4.492 4.175 2.952
Ac 0.000 0.000 0.000
Hg 2.931 1.692 1.196
```

(2)
The following is a DFT calculation (PBE) of an optimized crystal structure of AcCe2Cd2Sn2.

Results
* E_form: -0.315 eV per atom
* crystal system: trigonal
* SG: R-3m, No. 166

```
7
Lattice="-0.476 4.243 2.309 -4.073 0.986 2.450 2.387 -2.218 9.670" Properties=species:S:1:pos:R:3 pbc="T T T"
Ac 0.000 0.000 0.000
Ce 0.656 -0.461 6.085
Ce -2.818 3.473 8.343
Cd -1.941 2.379 5.432
Cd -0.221 0.633 8.996
Sn -1.454 2.089 11.168
Sn -0.708 0.923 3.261
```

(3)
The following is a DFT calculation (PBE) of an optimized crystal structure of Ce12Tl3Hg.

Results
* E_form: -0.114 eV per atom
* crystal system: tetragonal
* SG: P4/mmm, No. 123

```
16
Lattice="-2.293 -1.448 4.000 4.248 -1.020 2.066 0.897 17.910 6.996" Properties=species:S:1:pos:R:3 pbc="T T T"
Ce 0.977 -1.234 3.033
Ce 1.200 3.206 4.767
Ce 1.426 7.721 6.531
Ce 1.652 12.237 8.295
Ce -1.036 1.481 2.861
Ce -0.811 5.980 4.619
Ce -0.585 10.482 6.377
Ce -0.360 14.981 8.135
Ce 2.234 1.695 1.894
Ce 2.460 6.194 3.652
Ce 2.685 10.696 5.410
Ce 2.910 15.195 7.168
Tl 0.223 4.452 1.739
Tl 0.448 8.955 3.498
Tl 0.674 13.458 5.257
Hg 0.000 0.000 0.000
```

(4)
The following is a DFT calculation (PBE) of an optimized crystal structure of DyAu2I6.

Results
* crystal system: monoclinic
* SG: C2/c, No. 15
* uncorrected formation energy: -0.556 eV per atom

```
18
Lattice="-0.877 6.885 4.561 -5.830 -2.708 8.466 8.791 0.844 5.916" Properties=species:S:1:pos:R:3 pbc="T T T"
Dy 7.346 2.267 7.270
Dy -5.263 2.753 11.673
Au 2.138 0.076 11.272
Au 0.735 1.587 5.329
Au -0.055 4.944 7.671
Au 1.349 3.433 13.614
I 2.063 2.922 11.169
I 1.097 5.909 9.790
I 0.020 2.098 7.774
I 0.986 -0.889 9.153
I -3.224 3.020 13.653
I -4.073 3.270 9.130
I 5.307 2.000 5.290
I 6.156 1.750 9.813
I 3.772 -0.212 13.378
I 1.298 2.409 2.840
I -1.689 5.232 5.565
I 0.786 2.611 16.103
```

(5)
The following is a DFT calculation (PBE) of an optimized crystal structure of V2Te3Pd.

Results
* crystal system: monoclinic
* SG: C2/m, No. 12
* uncorrected formation energy: -0.234 eV per atom

```
12
Lattice="-1.420 1.752 -3.239 -7.757 -1.433 2.624 4.710 8.034 4.686" Properties=species:S:1:pos:R:3 pbc="T T T"
V -2.173 4.396 3.331
V -2.292 3.956 0.740
V -3.461 6.995 2.896
V -1.005 1.358 1.175
Te 0.134 3.941 2.073
Te -6.273 -0.294 2.590
Te -1.018 6.615 4.025
Te -4.600 4.412 1.998
Te -3.448 1.738 0.046
Te 1.807 8.647 1.481
Pd -4.400 5.148 4.713
Pd -0.066 3.205 -0.642
```

(6)
The following is a DFT calculation (PBE) of an optimized crystal structure of Sr2ScP2.

Results
* E_form: -0.926 eV per atom
* crystal system: tetragonal
* SG: P4/mbm, No. 127

```
10
Lattice="-5.805 4.230 -2.689 -3.893 -6.396 -1.659 -1.776 0.061 3.931" Properties=species:S:1:pos:R:3 pbc="T T T"
Sc 0.000 0.000 0.000
Sc -4.849 -1.083 -2.174
Sr -4.225 -3.478 0.513
Sr -7.957 -2.727 -1.185
Sr -7.249 1.373 -0.930
Sr -3.516 0.623 0.769
P -5.132 -3.910 -2.257
P -7.423 -0.791 -3.342
P -4.566 1.744 -2.090
P -2.274 -1.375 -1.006
```

(7)
The following is a DFT calculation (PBE) of an optimized crystal structure of Pu2Cd3Ag2.

Results
* E_form: -0.037 eV per atom
* crystal system: monoclinic
* SG: P2/m, No. 10

```
7
Lattice="3.006 0.000 0.000 0.000 4.982 -1.160 0.000 -0.107 10.706" Properties=species:S:1:pos:R:3 pbc="T T T"
Pu 1.503 0.683 2.894
Pu 1.503 4.192 6.652
Cd 0.000 1.369 5.819
Cd 0.000 0.000 0.000
Cd 0.000 3.507 3.727
Ag 0.000 2.045 8.681
Ag 0.000 2.831 0.865
```

(8)
The following is a DFT calculation (PBE) of an optimized crystal structure of InNiP2.

Results
* E_form: -0.156 eV per atom
* crystal system: monoclinic
* SG: P2/m, No. 10

```
4
Lattice="3.608 0.000 0.000 0.000 4.182 -0.013 0.000 1.272 4.692" Properties=species:S:1:pos:R:3 pbc="T T T"
In 1.804 1.364 1.170
Ni 1.804 4.091 3.509
P 0.000 5.282 4.143
P 0.000 2.900 2.875
```

(9)
The following is a DFT calculation (PBE) of an optimized crystal structure of CrCdAgCl6.

Results
* crystal system: trigonal
* SG: P-31c, No. 163
* uncorrected formation energy: -0.932 eV per atom

```
18
Lattice="-5.112 3.999 0.032 -0.374 -5.770 2.950 3.887 4.889 10.055" Properties=species:S:1:pos:R:3 pbc="T T T"
Cr -2.561 1.965 3.518
Cr 0.962 1.153 9.519
Cd -0.982 -1.291 4.491
Cd -0.618 4.410 8.546
Ag 0.000 0.000 0.000
Ag 1.944 2.444 5.027
Cl -3.094 -0.326 3.209
Cl -4.551 2.558 2.371
Cl 0.364 -1.124 9.228
Cl 2.952 0.561 10.666
Cl -0.607 1.326 4.703
Cl -3.750 2.041 5.570
Cl -0.198 1.169 11.588
Cl -1.963 4.242 3.809
Cl 2.150 1.077 7.467
Cl -1.402 1.949 1.449
Cl -0.992 1.792 8.334
Cl 1.495 3.444 9.828
```

(10)
The following is a DFT calculation (PBE) of an optimized crystal structure of CsReOs.

Results
* E_form: 0.977 eV per atom
* crystal system: monoclinic
* SG: Cm, No. 8

```
12
Lattice="-8.337 0.505 -4.159 0.556 -3.880 -1.585 1.227 -4.003 10.229" Properties=species:S:1:pos:R:3 pbc="T T T"
Cs -1.557 -2.020 4.398
Cs -1.892 -1.958 -1.509
Cs -7.278 -2.212 2.862
Cs -7.614 -2.150 -3.046
Re -3.725 -1.180 1.582
Re -2.834 -5.121 5.904
Re -5.202 -0.612 -0.326
Re -4.311 -4.553 3.996
Os -5.127 -3.073 5.725
Os -5.463 -3.011 -0.183
Os -3.641 -3.646 7.647
Os -3.977 -3.584 1.740
```

(11)
The following is a DFT calculation (PBE) of an optimized crystal structure of Pm2PuIr.

Results
* E_form: 0.027 eV per atom
* crystal system: cubic
* SG: Fm-3m, No. 225

```
4
Lattice="5.172 0.000 0.000 2.586 4.479 0.000 2.586 1.493 4.222" Properties=species:S:1:pos:R:3 pbc="T T T"
Ir 0.000 0.000 0.000
Pm 2.586 1.493 1.056
Pm 7.758 4.479 3.166
Pu 5.172 2.986 2.111
```

(12)
The following is a DFT calculation (PBE) of an optimized crystal structure of SrAlSe.

Results
* crystal system: tetragonal
* SG: I4mm, No. 107
* uncorrected formation energy: -0.654 eV per atom

```
3
Lattice="6.563 0.076 -0.004 3.664 5.446 0.004 -5.112 -2.764 3.051" Properties=species:S:1:pos:R:3 pbc="T T T"
Sr 7.563 4.083 0.000
Al 0.243 0.131 0.000
Se 2.422 1.308 0.000
```

no.,calculated total energy (eV per atom),total magnetization (μB/f.u.)
1,-4.1374,0.0
2,-4.0022,3.1
3,-5.0268,12.6
4,-2.8295,0.0
5,-5.7100,1.2
6,-5.0286,1.0
7,-5.3383,12.0
8,-4.9912,0.0
9,-3.6511,3.0
10,-7.2003,0.0
11,-8.1469,6.3
12,-3.6232,0.0